Record 1
Crystalline Pr2ErCd at its relaxed geometry, computed with GGA-PBE.

a = 3.6647 Å, b = 3.6647 Å, c = 33.2435 Å
α = 90.00°, β = 90.00°, γ = 120.00°
Space group R3m (No. 160, hexagonal axes)
Inequivalent atoms, fractional coordinates:
Pr: 0.0000 0.0000 0.0000
Pr: 0.0000 0.0000 0.1739
Er: 0.0000 0.0000 0.7538
Cd: 0.0000 0.0000 0.5869

Results
calculated total energy = -3.803 eV/atom
ΔE_f = -0.044 eV per atom

Record 2
Crystalline PrEr4Cd5 at its relaxed geometry, computed with GGA-PBE.

a = 3.731 Å, b = 3.731 Å, c = 18.900 Å
α = 90.00°, β = 90.00°, γ = 90.00°
Space group P4/mmm (No. 123)
Inequivalent atoms, fractional coordinates:
Pr: 0.000 0.000 0.000
Er: 0.000 0.000 0.207
Er: 0.000 0.000 0.403
Cd: 0.500 0.500 0.112
Cd: 0.500 0.500 0.304
Cd: 0.500 0.500 0.500

Results
calculated total energy = -3.074 eV/atom
ΔE_f = -0.313 eV per atom

Record 3
Crystalline PrErCd2 at its relaxed geometry, computed with GGA-PBE.

a = 7.608 Å, b = 7.608 Å, c = 7.608 Å
α = 90.00°, β = 90.00°, γ = 90.00°
Space group Fm-3m (No. 225)
Inequivalent atoms, fractional coordinates:
Pr: 0.000 0.000 0.000
Er: 0.000 0.000 0.500
Cd: 0.250 0.250 0.250

Results
calculated total energy = -3.101 eV/atom
ΔE_f = -0.308 eV per atom

Record 4
Crystalline Pr7Er2Cd2 at its relaxed geometry, computed with GGA-PBE.

a = 8.957 Å, b = 9.861 Å, c = 8.677 Å
α = 90.00°, β = 109.51°, γ = 90.00°
Space group C2/m (No. 12)
Inequivalent atoms, fractional coordinates:
Pr: 0.000 0.000 0.000
Pr: 0.134 0.000 0.417
Pr: 0.199 0.324 0.173
Er: 0.000 0.325 0.500
Cd: 0.120 0.500 0.820

Results
calculated total energy = -4.091 eV/atom
ΔE_f = -0.054 eV per atom

Record 5
Crystalline PrErCd4 at its relaxed geometry, computed with GGA-PBE.

a = 3.440 Å, b = 8.732 Å, c = 5.031 Å
α = 90.00°, β = 90.10°, γ = 90.00°
Space group P2/m (No. 10)
Inequivalent atoms, fractional coordinates:
Pr: 0.000 0.000 0.000
Er: 0.000 0.500 0.500
Cd: 0.500 0.173 0.500
Cd: 0.500 0.338 0.000

Results
calculated total energy = -2.486 eV/atom
ΔE_f = -0.319 eV per atom

Record 6
Crystalline Pr6Er8Cd at its relaxed geometry, computed with GGA-PBE.

a = 9.5258 Å, b = 9.5258 Å, c = 6.3012 Å
α = 90.00°, β = 90.00°, γ = 120.00°
Space group P-3 (No. 147)
Inequivalent atoms, fractional coordinates:
Pr: 0.0895 0.6367 0.1931
Er: 0.0416 0.7818 0.6936
Er: 0.3333 0.6667 0.6862
Cd: 0.0000 0.0000 0.0000

Results
calculated total energy = -4.328 eV/atom
ΔE_f = 0.078 eV per atom